(1)
A plane-wave DFT calculation with GGA-PBE was carried out for a relaxed structure of DyTlCuTe3.

```
12
Lattice="4.9950 3.2231 5.3636 -6.5045 0.5967 -4.6306 -6.3691 -4.1315 8.4142" Properties=species:S:1:pos:R:3 pbc="T T T"
Te -5.9180 -0.7805 3.7540
Te -8.2807 -2.3131 6.8753
Te 0.4021 2.0014 2.2719
Te -10.4427 -2.3104 2.4090
Te -1.9606 0.4688 5.3933
Te 2.5640 1.9987 6.7382
Dy -3.1846 -2.0658 4.2071
Dy 0.0000 0.0000 0.0000
Cu -5.9150 -1.2763 6.3440
Cu -1.9637 0.9646 2.8032
Tl -5.2435 0.2155 -0.0472
Tl -2.6352 -0.5272 9.1945
```

## Properties
The crystal system is orthorhombic. The space group is No. 63.

***

(2)
A plane-wave DFT calculation with GGA-PBE was carried out for a relaxed structure of DySnAuSe3.

```
12
Lattice="-2.5557 -8.9222 -1.2426 1.2408 -8.9122 -2.5911 2.8319 -0.1130 7.9719" Properties=species:S:1:pos:R:3 pbc="T T T"
Se 1.5352 -12.1157 4.2326
Se -0.0182 -5.8317 -0.0943
Se 0.7585 -8.9737 2.0691
Se 0.0000 0.0000 0.0000
Se 0.0656 -12.3499 0.0933
Se 1.4515 -5.5975 4.0450
Sn 0.0442 -15.6009 0.0090
Sn 1.4729 -2.3465 4.1293
Au 1.6177 -8.1560 4.4940
Au -0.1006 -9.7914 -0.3557
Dy 1.4674 -15.0232 4.0200
Dy 0.0497 -2.9242 0.1183
```

## Properties
The crystal system is monoclinic. The space group is No. 12.

***

(3)
A plane-wave DFT calculation with GGA-PBE was carried out for a relaxed structure of Nb3B4S.

```
8
Lattice="3.0710 0.0000 0.0000 0.0000 3.1958 0.0000 0.0000 0.0000 8.9653" Properties=species:S:1:pos:R:3 pbc="T T T"
Nb 0.0000 0.0000 4.4827
Nb 1.5355 0.0000 7.2697
Nb 1.5355 0.0000 1.6956
B 1.5355 1.5979 3.5221
B 0.0000 1.5979 2.6893
B 0.0000 1.5979 6.2760
B 1.5355 1.5979 5.4432
S 0.0000 1.5979 0.0000
```

## Properties
The crystal system is orthorhombic. The space group is No. 47.

***

(4)
A plane-wave DFT calculation with GGA-PBE was carried out for a relaxed structure of MgIrWAu.

```
4
Lattice="-2.1276 0.9639 3.8685 -3.9159 -2.0262 0.9907 -0.1799 -3.0749 3.3067" Properties=species:S:1:pos:R:3 pbc="T T T"
Mg -4.6675 -3.1029 6.1244
W -1.5558 -1.0343 2.0415
Ir 0.0000 0.0000 0.0000
Au -3.1117 -2.0686 4.0829
```

## Properties
The crystal system is cubic. The space group is No. 216.

***

(5)
A plane-wave DFT calculation with GGA-PBE was carried out for a relaxed structure of DyTl2.

```
6
Lattice="0.0000 4.3373 4.3373 4.3373 0.0000 4.3373 4.3373 4.3373 0.0000" Properties=species:S:1:pos:R:3 pbc="T T T"
Tl 5.4216 5.4216 5.4216
Tl 5.4216 3.2530 3.2530
Tl 3.2530 5.4216 3.2530
Tl 3.2530 3.2530 5.4216
Dy 0.0000 0.0000 0.0000
Dy 2.1686 2.1686 2.1686
```

## Properties
The crystal system is cubic. The space group is No. 227.

***

(6)
A plane-wave DFT calculation with GGA-PBE was carried out for a relaxed structure of NdErNi.

```
3
Lattice="0.0000 3.3853 3.3853 3.3853 0.0000 3.3853 3.3853 3.3853 0.0000" Properties=species:S:1:pos:R:3 pbc="T T T"
Er 1.6927 1.6927 1.6927
Nd 5.0780 5.0780 5.0780
Ni 0.0000 0.0000 0.0000
```

## Properties
The crystal system is cubic. For the formation energy, the calculation gives -0.11 eV/atom. The space group is No. 216.

***

(7)
A plane-wave DFT calculation with GGA-PBE was carried out for a relaxed structure of ZrIrPb2.

```
4
Lattice="0.0000 3.5453 3.5453 3.5453 0.0000 3.5453 3.5453 3.5453 0.0000" Properties=species:S:1:pos:R:3 pbc="T T T"
Pb 5.3180 5.3180 5.3180
Pb 0.0000 0.0000 0.0000
Ir 1.7727 1.7727 1.7727
Zr 3.5454 3.5454 3.5454
```

## Properties
The crystal system is cubic. The space group is No. 216.

***

(8)
A plane-wave DFT calculation with GGA-PBE was carried out for a relaxed structure of HfAsPO.

```
8
Lattice="4.5741 0.0000 0.0000 0.0000 4.5741 0.0000 0.0000 0.0000 6.2538" Properties=species:S:1:pos:R:3 pbc="T T T"
P 2.2871 0.0000 2.0650
P 0.0000 2.2871 4.1887
O 2.2871 2.2871 0.0000
O 0.0000 0.0000 0.0000
As 0.0000 2.2871 0.3576
As 2.2871 0.0000 5.8962
Hf 2.2871 2.2871 3.1269
Hf 0.0000 0.0000 3.1269
```

## Properties
The crystal system is tetragonal. The space group is No. 129.

***

(9)
A plane-wave DFT calculation with GGA-PBE was carried out for a relaxed structure of HfCoBiAu.

```
4
Lattice="0.0000 3.3734 3.3734 3.3734 0.0000 3.3734 3.3734 3.3734 0.0000" Properties=species:S:1:pos:R:3 pbc="T T T"
Bi 0.0000 0.0000 0.0000
Co 5.0601 5.0601 5.0601
Hf 3.3734 3.3734 3.3734
Au 1.6867 1.6867 1.6867
```

## Properties
The crystal system is cubic. The space group is No. 216.

***

(10)
A plane-wave DFT calculation with GGA-PBE was carried out for a relaxed structure of HfNi2Hg.

```
4
Lattice="0.0000 3.1597 3.1597 3.1597 0.0000 3.1597 3.1597 3.1597 0.0000" Properties=species:S:1:pos:R:3 pbc="T T T"
Ni 1.5799 1.5799 1.5799
Ni 0.0000 0.0000 0.0000
Hf 4.7396 4.7396 4.7396
Hg 3.1597 3.1597 3.1597
```

## Properties
The crystal system is cubic. For the formation energy, the calculation gives -0.01 eV/atom. The space group is No. 216.

***

(11)
A plane-wave DFT calculation with GGA-PBE was carried out for a relaxed structure of LiHoC2O6.

```
20
Lattice="4.8225 -3.7753 0.0000 4.8225 3.7753 0.0000 -3.6497 0.0000 5.5128" Properties=species:S:1:pos:R:3 pbc="T T T"
O 5.5415 0.5655 4.4826
O 6.6711 0.7289 0.0994
O 1.1490 0.7289 2.6570
O 4.8463 -0.7289 2.8558
O -0.6759 -0.7289 5.4133
O 0.4538 -0.5655 1.0302
O 3.8948 1.2915 3.1153
O 0.2756 1.2915 5.1539
O 7.3664 -0.5655 1.7262
O 2.1005 -1.2915 2.3975
O -1.3711 0.5655 3.7866
O 5.7196 -1.2915 0.3589
C 6.5491 -0.3856 0.7241
C 4.7242 0.3856 3.4805
C 1.2710 -0.3856 2.0322
C -0.5538 0.3855 4.7886
Ho 2.0852 2.3102 4.1346
Ho 3.9101 -2.3102 1.3782
Li 3.9101 1.8986 1.3782
Li 2.0852 -1.8986 4.1346
```

## Properties
The crystal system is monoclinic. The space group is No. 15.

***

(12)
A plane-wave DFT calculation with GGA-PBE was carried out for a relaxed structure of AgBiO2.

```
8
Lattice="6.6485 0.0000 0.0000 0.0000 3.5656 0.0000 -2.7475 0.0000 6.0996" Properties=species:S:1:pos:R:3 pbc="T T T"
O 4.3125 2.6742 2.5260
O 3.5200 0.8914 4.9250
O -0.4114 0.8914 3.5736
O 0.3811 2.6742 1.1746
Ag 1.5800 0.8914 4.1748
Ag 2.3210 2.6742 1.9248
Bi -1.7304 2.6742 4.6380
Bi 5.6314 0.8914 1.4616
```

## Properties
The crystal system is monoclinic. The space group is No. 11.

***

(13)
A plane-wave DFT calculation with GGA-PBE was carried out for a relaxed structure of NbZn2Cu.

```
4
Lattice="-2.6998 -3.0113 -1.6331 -4.1917 0.9801 -0.7020 -1.4942 0.3930 -4.0788" Properties=species:S:1:pos:R:3 pbc="T T T"
Nb -4.1929 -0.8191 -3.2070
Cu -2.0964 -0.4096 -1.6035
Zn -6.2893 -1.2287 -4.8105
Zn 0.0000 0.0000 0.0000
```

## Properties
The crystal system is cubic. For the formation energy, the calculation gives 0.09 eV/atom. The space group is No. 216.

***

(14)
A plane-wave DFT calculation with GGA-PBE was carried out for a relaxed structure of Nb4AlInC2.

```
8
Lattice="3.1629 0.0000 0.0000 -1.5814 2.7391 0.0000 0.0000 0.0000 14.2195" Properties=species:S:1:pos:R:3 pbc="T T T"
Nb 1.5814 0.9130 2.2253
Nb 0.0000 0.0000 4.6725
Nb 1.5814 0.9130 11.9943
Nb 0.0000 0.0000 9.5471
C 0.0000 1.8261 10.7633
C 0.0000 1.8261 3.4563
Al 0.0000 0.0000 0.0000
In 1.5814 0.9130 7.1098
```

## Properties
The crystal system is hexagonal. The space group is No. 187.

***

(15)
A plane-wave DFT calculation with GGA-PBE was carried out for a relaxed structure of LiSnW.

```
3
Lattice="0.2293 -4.2096 1.6549 0.0413 -0.6735 4.4785 -3.6023 -1.8273 2.0485" Properties=species:S:1:pos:R:3 pbc="T T T"
Sn -2.4988 -5.0328 6.1364
Li -0.8329 -1.6776 2.0455
W 0.0000 0.0000 0.0000
```

## Properties
The crystal system is cubic. The space group is No. 216.

***

(16)
A plane-wave DFT calculation with GGA-PBE was carried out for a relaxed structure of PmZrPb.

```
3
Lattice="0.0000 3.6820 3.6820 3.6820 0.0000 3.6820 3.6820 3.6820 0.0000" Properties=species:S:1:pos:R:3 pbc="T T T"
Zr 5.5231 5.5231 5.5231
Pm 0.0000 0.0000 0.0000
Pb 1.8410 1.8410 1.8410
```

## Properties
The crystal system is cubic. The space group is No. 216.

***

(17)
A plane-wave DFT calculation with GGA-PBE was carried out for a relaxed structure of Rb2Hg2PtBr8.

```
13
Lattice="-0.4197 3.8991 5.8673 -2.2410 -3.1714 5.8927 10.1780 -2.6253 -1.0017" Properties=species:S:1:pos:R:3 pbc="T T T"
Br 3.3921 -0.8480 7.1510
Br 0.7522 -0.1563 10.4156
Br 7.3627 -3.8680 3.4740
Br 4.1252 -1.0496 3.6073
Br 0.1546 1.9704 7.2843
Br -0.8039 -1.7506 7.2977
Br 8.3212 -0.1470 3.4606
Br 6.7651 -1.7414 0.3426
Hg 3.8376 -0.9539 9.6148
Hg 3.6797 -0.9437 1.1434
Pt 0.0000 0.0000 0.0000
Rb 0.6624 -0.1545 4.4864
Rb 6.8549 -1.7432 6.2719
```

## Properties
The crystal system is monoclinic. The space group is No. 12.

***

(18)
A plane-wave DFT calculation with GGA-PBE was carried out for a relaxed structure of Os2Pd2O5.

```
9
Lattice="9.7120 0.0000 0.0000 0.0000 3.2874 0.0000 0.0000 0.0000 3.2874" Properties=species:S:1:pos:R:3 pbc="T T T"
O 8.5441 1.6437 0.0000
O 1.1679 1.6437 0.0000
O 1.1679 0.0000 1.6437
O 4.8560 1.6437 1.6437
O 8.5441 0.0000 1.6437
Os 0.0000 0.0000 0.0000
Os 4.8560 0.0000 0.0000
Pd 2.7524 1.6437 1.6437
Pd 6.9596 1.6437 1.6437
```

## Properties
The crystal system is tetragonal. The space group is No. 123.

***

(19)
A plane-wave DFT calculation with GGA-PBE was carried out for a relaxed structure of Zr3FeC.

```
10
Lattice="3.8736 3.3111 2.9903 -5.4250 -2.3307 -0.2162 2.9340 -7.2181 4.1918" Properties=species:S:1:pos:R:3 pbc="T T T"
Fe 3.7558 -3.5091 5.3347
Fe -2.3732 -2.7287 1.6312
Zr 2.8128 2.1024 2.8241
Zr -2.5287 -5.6376 2.5723
Zr 3.9113 -0.6001 4.3936
Zr 0.7775 -5.3162 4.3077
Zr -1.4302 -8.3402 4.1417
Zr 0.6051 -0.9216 2.6582
C -0.7757 0.4902 1.3870
C 0.6913 -3.1189 3.4829
```

## Properties
The crystal system is orthorhombic. The space group is No. 63.

***

(20)
A plane-wave DFT calculation with GGA-PBE was carried out for a relaxed structure of ZrInAg3S4.

```
9
Lattice="6.2899 0.0000 0.0000 0.0000 6.2899 0.0000 0.0000 0.0000 6.2899" Properties=species:S:1:pos:R:3 pbc="T T T"
In 0.0000 0.0000 0.0000
Ag 0.0000 3.1450 3.1450
Ag 3.1450 3.1450 0.0000
Ag 3.1450 0.0000 3.1450
S 4.5499 1.7400 4.5499
S 1.7400 1.7400 1.7400
S 1.7400 4.5499 4.5499
S 4.5499 4.5499 1.7400
Zr 3.1450 3.1450 3.1450
```

## Properties
The crystal system is cubic. The space group is No. 215.

***

(21)
A plane-wave DFT calculation with GGA-PBE was carried out for a relaxed structure of FeNiHgAs.

```
4
Lattice="-1.0739 0.6863 4.2659 -2.5345 3.4832 1.1249 -4.1859 -0.6439 1.3732" Properties=species:S:1:pos:R:3 pbc="T T T"
As 0.0000 0.0000 0.0000
Fe -5.8457 2.6442 5.0729
Hg -1.9486 0.8814 1.6910
Ni -3.8971 1.7628 3.3819
```

## Properties
The crystal system is cubic. The space group is No. 216.

***

(22)
A plane-wave DFT calculation with GGA-PBE was carried out for a relaxed structure of Sc2InTc.

```
16
Lattice="-2.0709 -4.2795 4.4232 6.7223 -0.4337 2.7278 -1.3524 4.9051 4.1127" Properties=species:S:1:pos:R:3 pbc="T T T"
Sc -2.5696 0.4430 6.4029
Sc 1.4794 -2.2018 5.6851
Sc 1.8197 2.3936 5.5784
Sc 2.5077 -0.0343 3.4968
Sc 0.7914 0.2262 7.7668
Sc -0.8537 0.1825 2.1329
Sc -1.5417 2.6105 4.2145
Sc -1.8816 -1.9849 4.3213
Tc 4.0063 -2.4651 4.2575
Tc 0.6451 -2.2482 2.8935
Tc 4.3656 2.1273 4.1022
Tc 1.0044 2.3441 2.7383
In 5.0418 -0.3253 2.0458
In 1.6806 -0.1084 0.6819
In -0.0310 0.2045 4.9497
In 3.3300 -0.0127 6.3139
```

## Properties
The crystal system is orthorhombic. The space group is No. 55.

***

(23)
A plane-wave DFT calculation with GGA-PBE was carried out for a relaxed structure of SmDyBi.

```
3
Lattice="1.1221 -2.9487 4.1507 -3.7135 -1.1167 3.4850 -1.8839 -4.8496 0.3385" Properties=species:S:1:pos:R:3 pbc="T T T"
Dy -1.1188 -2.2287 1.9935
Sm -3.3565 -6.6862 5.9806
Bi 0.0000 0.0000 0.0000
```

## Properties
The crystal system is cubic. The space group is No. 216.

***

(24)
A plane-wave DFT calculation with GGA-PBE was carried out for a relaxed structure of AcAsPtO.

```
8
Lattice="4.3774 0.0000 0.0000 0.0000 4.3774 0.0000 0.0000 0.0000 8.3943" Properties=species:S:1:pos:R:3 pbc="T T T"
Pt 0.0000 0.0000 4.1971
Pt 2.1887 2.1887 4.1971
Ac 0.0000 2.1887 1.2062
Ac 2.1887 0.0000 7.1880
O 0.0000 0.0000 0.0000
O 2.1887 2.1887 0.0000
As 2.1887 0.0000 2.9400
As 0.0000 2.1887 5.4543
```

## Properties
The crystal system is tetragonal. The space group is No. 129.

***

(25)
A plane-wave DFT calculation with GGA-PBE was carried out for a relaxed structure of Ta4Nb5.

```
9
Lattice="-4.9789 4.9789 1.6544 4.9789 -4.9789 1.6544 4.9789 4.9789 -1.6544" Properties=species:S:1:pos:R:3 pbc="T T T"
Ta 0.0000 3.3213 0.0000
Ta 0.0000 6.6366 0.0000
Ta 6.6366 0.0000 0.0000
Ta 3.3213 0.0000 0.0000
Nb -1.6671 1.6671 1.6544
Nb 0.0000 0.0000 0.0000
Nb 1.6671 1.6671 1.6544
Nb 1.6671 -1.6671 1.6544
Nb 3.3118 3.3118 0.0000
```

## Properties
The crystal system is tetragonal. For the formation energy, the calculation gives 0.00 eV/atom. The space group is No. 139.

***

| no. | total energy (eV/cell) |
| --- | --- |
| 1 | -48.4 |
| 2 | -54.8 |
| 3 | -66.0 |
| 4 | -26.3 |
| 5 | -18.8 |
| 6 | -15.2 |
| 7 | -24.1 |
| 8 | -54.1 |
| 9 | -24.0 |
| 10 | -21.4 |
| 11 | -151.8 |
| 12 | -39.9 |
| 13 | -16.0 |
| 14 | -69.0 |
| 15 | -15.8 |
| 16 | -15.1 |
| 17 | -32.5 |
| 18 | -55.6 |
| 19 | -90.1 |
| 20 | -41.4 |
| 21 | -16.9 |
| 22 | -107.4 |
| 23 | -14.4 |
| 24 | -54.4 |
| 25 | -97.9 |